No. 1
Compound: SiTeRh2
Source: Alexandria
Functional: PBE-GGA
Structure: optimized geometry

Lattice parameters (Å, degrees): 6.4371 6.4371 6.4371 90.00 90.00 90.00
Space group F-43m (No. 216)
Asymmetric unit:
1 Si 0.0000 0.0000 0.0000 [4 per cell]
2 Te 0.2500 0.2500 0.7500 [4 per cell]
3 Rh 0.0000 0.0000 0.5000 [4 per cell]
4 Rh 0.2500 0.2500 0.2500 [4 per cell]

## Properties
As for the density of states at the Fermi level: 1.19 states/eV/atom. As for the volume: 16.67 Å³/atom. As for the energy above the most stable polymorph in this dataset: 0.715 eV/atom. For the energy relative to the elements, uncorrected, the calculation gives 301 meV/atom.

=====

No. 2
Compound: Ac5Pm2Sm4
Source: Alexandria
Functional: PBE-GGA
Structure: optimized geometry

Lattice parameters (Å, degrees): 9.3234 3.7105 12.6055 90.00 92.60 90.00
Space group P2/m (No. 10)
Asymmetric unit:
1 Ac 0.0000 0.0000 0.0000 [1 per cell]
2 Ac 0.1988 0.0000 0.5238 [2 per cell]
3 Ac 0.2782 0.0000 0.8139 [2 per cell]
4 Pm 0.3515 0.0000 0.1203 [2 per cell]
5 Sm 0.0780 0.5000 0.2672 [2 per cell]
6 Sm 0.4630 0.5000 0.3558 [2 per cell]

## Properties
As for the density of states at the Fermi level: 1.75 states/eV/atom. As for the volume: 39.60 Å³/atom. The value obtained for the formation energy from the elements is 0.150 eV per atom.

=====

No. 3
Compound: TcBrNO2
Source: Alexandria
Functional: PBE-GGA
Structure: optimized geometry

Lattice parameters (Å, degrees): 3.9520 3.9520 4.1263 90.00 90.00 90.00
Space group P4/mmm (No. 123)
Asymmetric unit:
1 Tc 0.0000 0.0000 0.0000 [1 per cell]
2 Br 0.5000 0.5000 0.5000 [1 per cell]
3 N 0.5000 0.5000 0.0000 [1 per cell]
4 O 0.0000 0.5000 0.5000 [2 per cell]

## Properties
As for the density of states at the Fermi level: 0.41 states/eV/atom. As for the volume: 12.89 Å³/atom. For the energy relative to the elements, uncorrected, the calculation gives 1528 meV/atom.